1.
Al2CuAgGe: relaxed, PBE.

```
Al2CuAgGe
1.0
4.9255 0.0000 0.0000
0.0000 4.9255 0.0000
0.0000 0.0000 4.8508
Al Cu Ag Ge
2 1 1 1
Cartesian
0.0000 2.4627 0.0000
2.4627 0.0000 0.0000
0.0000 0.0000 2.4254
2.4627 2.4627 2.4254
2.4627 2.4627 0.0000
```

---

2.
HfAlCuAg: relaxed, PBE.

```
HfAlCuAg
1.0
0.0000 3.2138 3.2138
3.2138 0.0000 3.2138
3.2138 3.2138 0.0000
Hf Al Cu Ag
1 1 1 1
Cartesian
0.0000 0.0000 0.0000
3.2138 3.2138 3.2138
1.6069 1.6069 1.6069
4.8207 4.8207 4.8207
```

---

3.
Ho2Al3Cu12Ag: relaxed, PBE.

```
Ho2Al3Cu12Ag
1.0
2.9844 1.7231 9.7056
-2.9844 1.7231 9.7056
0.0000 -3.4461 9.7056
Ho Al Cu Ag
2 3 12 1
Cartesian
0.0000 0.0000 4.1195
0.0000 0.0000 24.9972
-1.4922 -0.8615 9.7056
-1.4922 0.8615 19.4111
0.0000 1.7231 9.7055
-1.6633 -0.9603 12.7418
0.0000 -2.0710 8.2750
-1.7936 1.0355 8.2750
-1.7936 -1.0355 20.8417
0.0000 -1.9207 16.3748
-1.6633 0.9603 16.3748
1.6633 -0.9603 12.7418
0.0000 1.9207 12.7418
1.7936 1.0355 8.2750
1.7936 -1.0355 20.8417
0.0000 2.0710 20.8417
1.6633 0.9603 16.3748
0.0000 0.0000 14.5583
```

---

4.
HoAlCuAg: relaxed, PBE.

```
HoAlCuAg
1.0
0.0000 3.3231 3.3231
3.3231 0.0000 3.3231
3.3231 3.3231 0.0000
Ho Al Cu Ag
1 1 1 1
Cartesian
0.0000 0.0000 0.0000
3.3231 3.3231 3.3231
4.9846 4.9846 4.9846
1.6615 1.6615 1.6615
```

---

5.
HoAl3CuAg: relaxed, PBE.

```
HoAl3CuAg
1.0
2.9945 -6.2636 0.0000
2.9945 6.2636 0.0000
0.0000 0.0000 5.9650
Ho Al Cu Ag
2 6 2 2
Cartesian
2.9945 3.6788 4.4738
2.9945 -3.6788 1.4913
1.2947 0.0000 0.0000
1.2947 0.0000 2.9825
2.9945 1.6700 1.4913
2.9945 -1.6700 4.4738
4.6943 0.0000 0.0000
4.6943 0.0000 2.9825
2.9945 0.9856 4.4738
2.9945 -0.9856 1.4913
2.9945 4.2991 1.4913
2.9945 -4.2991 4.4738
```

---

6.
LaAl8CuAg2: relaxed, PBE.

```
LaAl8CuAg2
1.0
4.2463 -2.6142 0.0000
4.2463 2.6142 0.0000
-0.2868 0.0000 10.3616
La Al Cu Ag
1 8 1 2
Cartesian
0.0000 0.0000 0.0000
3.6429 1.3208 7.1814
4.5629 1.3208 3.1803
2.6458 0.0000 1.7143
2.5588 0.0000 4.8770
5.6470 0.0000 5.4846
5.5600 0.0000 8.6473
3.6429 -1.3208 7.1814
4.5629 -1.3208 3.1803
-0.1434 0.0000 5.1808
2.4828 0.0000 9.1167
5.7230 0.0000 1.2449
```

---

Number 1: E_form 780 meV/atom. Number 2: E_form -164 meV/atom. Number 3: E_form 100 meV/atom. Number 4: E_form -319 meV/atom. Number 5: E_form -158 meV/atom. Number 6: E_form -64 meV/atom.